Entry from the Alexandria database: crystalline VAgSF2 at its relaxed geometry (GGA+U).

Results
E	-4.86	eV per atom

Geometry as CIF:
```
data_VAgSF2
_chemical_formula_sum 'V1 Ag1 S1 F2'
_symmetry_space_group_name_H-M 'P 4/m m m'
_symmetry_Int_Tables_number 123
_symmetry_space_group_name_Hall '-P 4 2'
_cell_length_a 3.815
_cell_length_b 3.815
_cell_length_c 6.306
_cell_angle_alpha 90.00
_cell_angle_beta 90.00
_cell_angle_gamma 90.00
loop_
_atom_site_label
_atom_site_type_symbol
_atom_site_fract_x
_atom_site_fract_y
_atom_site_fract_z
_atom_site_occupancy
V1 V 0.000 0.000 0.000 1
Ag1 Ag 0.000 0.000 0.500 1
S1 S 0.500 0.500 0.500 1
F1 F 0.000 0.500 0.000 1
```